Entry from OQMD: a relaxed structure of CsKZrS3 (GGA-PBE).

Cell: 3.8704 17.7361 11.2748 Å, 90.00 90.00 90.00°
Space group Cmcm (No. 63)
Symmetry-distinct sites (fractional):
1 Cs 0.0000 0.1674 0.2500 x4
2 K 0.0000 0.1215 0.7500 x4
3 Zr 0.0000 0.5000 0.0000 x4
4 S 0.0000 0.0968 0.5028 x8
5 S 0.0000 0.4899 0.7500 x4

Summary:
- relative energy among the computed polymorphs (meV per atom) = 201
- E_tot (eV for the cell shown) = -120.5